a.
This record from Alexandria describes an optimized crystal structure of Li5MnCo2O8. The functional is PBE with a Hubbard U.

Lattice parameters (Å, degrees): 5.7233 4.9134 5.0352 70.70 90.00 90.00
Closest atoms and distances in Å follow each position.
Fractional positions:
O 0.0000 0.2586 0.2186  1 Mn 1.94, 2 Co 1.97, 1 Li 2.13
O 0.5000 0.2844 0.2233  2 Co 1.89, 4 Li 2.01-2.10
O 0.7623 0.2502 0.7763  1 Co 1.92, 1 Mn 1.93, 4 Li 2.03-2.15
O 0.7623 0.7498 0.2237  1 Co 1.92, 1 Mn 1.93, 4 Li 2.03-2.15
O 0.5000 0.7156 0.7767  2 Co 1.89, 4 Li 2.01-2.10
O 0.2377 0.2502 0.7763  1 Co 1.92, 1 Mn 1.93, 4 Li 2.03-2.15
O 0.2377 0.7498 0.2237  1 Co 1.92, 1 Mn 1.93, 4 Li 2.03-2.15
O 0.0000 0.7414 0.7814  1 Mn 1.94, 2 Co 1.97, 1 Li 2.13
Co 0.7445 0.5000 0.0000  6 O 1.89-1.97
Co 0.2555 0.5000 0.0000  6 O 1.89-1.97
Li 0.2645 0.0000 0.5000  6 O 2.10-2.17
Li 0.5000 0.0000 0.0000  6 O 2.03-2.06
Li 0.5000 0.5000 0.5000  6 O 2.01-2.14
Li 0.0000 0.5000 0.5000  6 O 2.04-2.13
Li 0.7355 0.0000 0.5000  6 O 2.10-2.17
Mn 0.0000 0.0000 0.0000  6 O 1.93-1.94

Symmetry: P2/m, No. 10
Total moment: 4.0 μB per cell

---

b.
This record from Alexandria describes an optimized crystal structure of Li5MnCo2O8. The functional is PBE with a Hubbard U.

Lattice parameters (Å, degrees): 2.8967 5.1423 9.7446 80.03 90.00 90.00
Closest atoms and distances in Å follow each position.
Fractional positions:
O 0.5000 0.1124 0.1094  2 Mn 1.94, 1 Li 2.09
O 0.5000 0.3934 0.3626  1 Co 1.78
O 0.5000 0.6066 0.6374  1 Co 1.78
O 0.0000 0.3378 0.8758  1 Mn 1.94, 2 Co 2.06, 2 Li 2.15
O 0.0000 0.8692 0.3625  2 Co 1.95, 4 Li 2.00-2.16
O 0.5000 0.8876 0.8906  2 Mn 1.94, 1 Li 2.09
O 0.0000 0.6622 0.1242  1 Mn 1.94, 2 Co 2.06, 2 Li 2.15
O 0.0000 0.1308 0.6375  2 Co 1.95, 4 Li 2.00-2.16
Mn 0.0000 0.0000 0.0000  6 O 1.94
Co 0.5000 0.2796 0.7337  3 O 1.78-1.95
Co 0.5000 0.7204 0.2663  3 O 1.78-1.95
Li 0.5000 0.5000 0.0000  6 O 2.09-2.15
Li 0.5000 0.0000 0.5000  6 O 2.16-2.22
Li 0.0000 0.7585 0.7413  5 O 2.00-2.23
Li 0.0000 0.2415 0.2587  5 O 2.00-2.23
Li 0.0000 0.5000 0.5000  6 O 2.11-2.13

Symmetry: P2/m, No. 10
Total moment: 10.0 μB per cell

---

Most stable to least stable, the ends of the list are a and b.

---

a.
This record from Alexandria describes an optimized crystal structure of Li5MnCo2O8. The functional is PBE with a Hubbard U.

Lattice parameters (Å, degrees): 5.8021 5.8021 4.9103 73.37 73.37 59.06
Closest atoms and distances in Å follow each position.
Fractional positions:
Li 0.0000 0.5000 0.0000  6 O 2.10-2.17
Li 0.2540 0.2540 0.4894  6 O 2.03-2.12
Li 0.5000 0.5000 0.0000  6 O 2.05-2.06
Li 0.7460 0.7460 0.5106  6 O 2.03-2.12
Li 0.5000 0.0000 0.0000  6 O 2.10-2.17
O 0.1231 0.6526 0.2522  1 Co 1.92, 1 Mn 1.92, 4 Li 2.05-2.15
O 0.6526 0.1231 0.2522  1 Co 1.92, 1 Mn 1.92, 4 Li 2.05-2.15
O 0.8891 0.8891 0.7446  1 Mn 1.94, 2 Co 1.99, 3 Li 2.10-2.12
O 0.3474 0.8769 0.7478  1 Co 1.92, 1 Mn 1.92, 4 Li 2.05-2.15
O 0.8769 0.3474 0.7478  1 Co 1.92, 1 Mn 1.92, 4 Li 2.05-2.15
O 0.3899 0.3899 0.7146  2 Co 1.88, 2 Li 2.03-2.06
O 0.1109 0.1109 0.2554  1 Mn 1.94, 2 Co 1.99, 3 Li 2.10-2.12
O 0.6101 0.6101 0.2854  2 Co 1.88, 2 Li 2.03-2.06
Co 0.2564 0.7436 0.5000  6 O 1.88-1.99
Co 0.7436 0.2564 0.5000  6 O 1.88-1.99
Mn 0.0000 0.0000 0.0000  6 O 1.92-1.94

Symmetry: C2/m, No. 12
Total moment: 4.0 μB per cell

---

b.
This record from Alexandria describes an optimized crystal structure of Li5MnCo2O8. The functional is PBE with a Hubbard U.

Lattice parameters (Å, degrees): 5.7464 5.7464 5.8340 60.06 60.06 60.62
Closest atoms and distances in Å follow each position.
Fractional positions:
Li 0.0000 0.0000 0.5000  6 O 2.05-2.07
Li 0.5000 0.0000 0.5000  6 O 2.06-2.23
Li 0.0000 0.5000 0.5000  6 O 2.06-2.23
Li 0.5000 0.5000 0.5000  6 O 2.11-2.18
Li 0.5000 0.5000 0.0000  6 O 2.03-2.06
O 0.7508 0.2225 0.7782  1 Co 1.92, 1 Mn 1.94, 3 Li 2.06-2.14
O 0.2389 0.2389 0.7606  1 Mn 1.93, 3 Li 2.06-2.11, 2 Co 2.06
O 0.2225 0.7508 0.7782  1 Co 1.92, 1 Mn 1.94, 3 Li 2.06-2.14
O 0.2512 0.2512 0.2079  2 Co 1.89, 2 Li 2.03-2.05
O 0.7611 0.7611 0.2394  1 Mn 1.93, 3 Li 2.06-2.11, 2 Co 2.06
O 0.2492 0.7775 0.2218  1 Co 1.92, 1 Mn 1.94, 3 Li 2.06-2.14
O 0.7775 0.2492 0.2218  1 Co 1.92, 1 Mn 1.94, 3 Li 2.06-2.14
O 0.7488 0.7488 0.7921  2 Co 1.89, 2 Li 2.03-2.05
Mn 0.0000 0.0000 0.0000  6 O 1.93-1.94
Co 0.5000 0.0000 0.0000  6 O 1.89-2.06
Co 0.0000 0.5000 0.0000  6 O 1.89-2.06

Symmetry: C2/m, No. 12
Total moment: 6.0 μB per cell

---

c.
This record from Alexandria describes an optimized crystal structure of Li5MnCo2O8. The functional is PBE with a Hubbard U.

Lattice parameters (Å, degrees): 2.8975 5.9220 8.2841 89.53 90.00 90.00
Closest atoms and distances in Å follow each position.
Fractional positions:
Co 0.5000 0.7397 0.2727  3 O 1.78-1.96
Co 0.5000 0.2603 0.7273  3 O 1.78-1.96
Li 0.0000 0.5000 0.5000  6 O 2.09-2.13
Li 0.5000 0.2581 0.2635  6 O 2.07-2.21
Li 0.0000 0.5000 0.0000  6 O 2.02-2.20
Li 0.0000 0.0000 0.5000  6 O 2.06-2.21
Li 0.5000 0.7419 0.7365  6 O 2.07-2.21
O 0.0000 0.5215 0.2435  2 Co 1.96, 4 Li 2.02-2.13
O 0.5000 0.2457 0.5127  1 Co 1.78
O 0.0000 0.9798 0.2334  1 Mn 1.94, 2 Co 2.05
O 0.0000 0.0202 0.7666  1 Mn 1.94, 2 Co 2.05
O 0.0000 0.4785 0.7565  2 Co 1.96, 4 Li 2.02-2.13
O 0.5000 0.7805 0.9982  2 Mn 1.95
O 0.5000 0.7543 0.4873  1 Co 1.78
O 0.5000 0.2195 0.0018  2 Mn 1.95
Mn 0.0000 0.0000 0.0000  6 O 1.94-1.95

Symmetry: P2/m, No. 10
Total moment: 10.0 μB per cell

---

Most stable to least stable, the ends of the list are a and c.

---

a.
This record from Alexandria describes an optimized crystal structure of Li5MnCo2O8. The functional is PBE with a Hubbard U.

Lattice parameters (Å, degrees): 6.4750 6.4750 9.8866 52.55 52.55 26.07
Closest atoms and distances in Å follow each position.
Fractional positions:
O 0.4433 0.4433 0.1636  2 Mn 1.95, 1 Li 2.11, 1 Co 2.18
O 0.0741 0.0741 0.3043  1 Co 1.78
O 0.1802 0.1802 0.9284  1 Mn 1.91, 2 Co 2.08, 1 Li 2.13
O 0.5567 0.5567 0.8364  2 Mn 1.95, 1 Li 2.11, 1 Co 2.18
O 0.6980 0.6980 0.4194  2 Co 1.96, 4 Li 2.05-2.11
O 0.3020 0.3020 0.5806  2 Co 1.96, 4 Li 2.05-2.11
O 0.8198 0.8198 0.0716  1 Mn 1.91, 2 Co 2.08, 1 Li 2.13
O 0.9259 0.9259 0.6957  1 Co 1.78
Mn 0.0000 0.0000 0.0000  6 O 1.91-1.95
Li 0.5000 0.5000 0.5000  6 O 2.09-2.12
Li 0.6272 0.6272 0.1266  6 O 2.05-2.19
Li 0.3728 0.3728 0.8734  6 O 2.05-2.19
Li 0.1250 0.1250 0.6132  4 O 2.05-2.11
Li 0.8750 0.8750 0.3868  4 O 2.05-2.11
Co 0.7675 0.7675 0.7364  3 O 1.78-1.96
Co 0.2325 0.2325 0.2636  3 O 1.78-1.96

Symmetry: C2/m, No. 12
Total moment: 4.0 μB per cell

---

b.
This record from Alexandria describes an optimized crystal structure of Li5MnCo2O8. The functional is PBE with a Hubbard U.

Lattice parameters (Å, degrees): 9.7199 9.7199 4.9565 86.22 86.22 17.12
Closest atoms and distances in Å follow each position.
Fractional positions:
O 0.3080 0.3080 0.5322  1 Co 1.85, 3 Li 1.94-1.96
O 0.5557 0.5557 0.8179  1 Co 1.95, 2 Mn 1.99
O 0.6957 0.6957 0.4154  4 Li 1.94-2.05, 2 Co 1.94
O 0.9466 0.9466 0.6856  1 Mn 1.94, 2 Co 1.95
O 0.1923 0.1923 0.9618  1 Co 1.86, 5 Li 1.93-2.07
O 0.0522 0.0522 0.3268  1 Mn 1.94, 2 Co 1.94
O 0.8048 0.8048 0.0788  2 Co 1.94, 4 Li 1.96-2.04
O 0.4449 0.4449 0.1901  1 Co 1.94, 2 Mn 1.98
Li 0.6361 0.6361 0.1156  3 O 1.93-1.94
Li 0.7496 0.7496 0.7476  6 O 2.00-2.08
Li 0.1398 0.1398 0.6287  3 O 1.99-2.05
Li 0.3586 0.3586 0.8627  3 O 1.96-2.04
Li 0.8656 0.8656 0.3800  3 O 1.94-1.96
Mn 0.0001 0.0001 0.0043  6 O 1.94-1.99
Co 0.2503 0.2503 0.2473  6 O 1.85-1.94
Co 0.4997 0.4997 0.5051  6 O 1.94-1.95

Symmetry: Cm, No. 8
Total moment: 2.0 μB per cell

---

Most stable to least stable, the ends of the list are a and b.